First-principles (GGA-PBE) data for an optimized crystal structure of AlWSe, as listed in the Alexandria database.

Structure (POSCAR):
```
AlWSe
1.0
-1.6142 1.6142 4.8138
1.6142 -1.6142 4.8138
1.6142 1.6142 -4.8138
Al W Se
1 1 1
Cartesian
0.0000 0.0000 0.0000
0.0000 0.0000 3.1904
0.0000 0.0000 6.7405
```

Values from the calculation:
As for the space group: I4mm. As for the total DFT energy (no corrections): -6.577 eV/atom. Its offset from the most stable computed form is 140 meV per atom. Its crystal system is tetragonal. The uncorrected formation energy is 0.451 eV per formula unit.

First-principles (GGA-PBE) data for an optimized crystal structure of Ce3Ga2Si2, as listed in the Alexandria database.

Structure (POSCAR):
```
Ce3Ga2Si2
1.0
-2.0174 2.1600 9.2397
2.0174 -2.1600 9.2397
2.0174 2.1600 -9.2397
Ce Ga Si
3 2 2
Cartesian
0.0000 0.0000 0.0000
2.0174 0.0000 3.4659
0.0000 2.1600 5.7738
0.0000 0.0000 8.0137
0.0000 0.0000 10.4657
2.0174 0.0000 6.6023
0.0000 2.1600 2.6374
```

Values from the calculation:
As for the space group: Immm. As for the total DFT energy (no corrections): -5.567 eV/atom. Its offset from the most stable computed form is 0 meV per atom. Its crystal system is orthorhombic. The uncorrected formation energy is -4.267 eV per formula unit.

First-principles (GGA-PBE) data for an optimized crystal structure of Zr2AlVC, as listed in the Alexandria database.

Structure (POSCAR):
```
Zr2AlVC
1.0
4.5807 0.0000 0.0000
0.0000 4.5807 0.0000
0.0000 0.0000 3.9490
Zr Al V C
2 1 1 1
Cartesian
0.0000 2.2903 0.0000
2.2903 0.0000 0.0000
0.0000 0.0000 1.9745
2.2903 2.2903 1.9745
2.2903 2.2903 0.0000
```

Values from the calculation:
As for the space group: P4/mmm. As for the total DFT energy (no corrections): -8.288 eV/atom. The formation energy is -0.452 eV/atom. Its crystal system is tetragonal.

First-principles (GGA-PBE) data for an optimized crystal structure of Nb14InOs, as listed in the Alexandria database.

Structure (POSCAR):
```
Nb14InOs
1.0
6.6290 0.0000 0.0000
0.0000 6.6290 0.0000
0.0000 0.0000 6.6028
Nb In Os
14 1 1
Cartesian
0.0000 0.0000 0.0000
0.0000 3.3145 0.0000
0.0000 3.3145 3.3014
1.6046 1.6046 1.6522
1.6046 1.6046 4.9506
1.6046 5.0244 1.6522
1.6046 5.0244 4.9506
3.3145 0.0000 0.0000
3.3145 0.0000 3.3014
3.3145 3.3145 0.0000
5.0244 1.6046 1.6522
5.0244 1.6046 4.9506
5.0244 5.0244 1.6522
5.0244 5.0244 4.9506
3.3145 3.3145 3.3014
0.0000 0.0000 3.3014
```

Values from the calculation:
As for the space group: P4/mmm. As for the total DFT energy (no corrections): -9.747 eV/atom. The formation energy is -0.063 eV/atom. Its crystal system is tetragonal.

First-principles (GGA-PBE) data for an optimized crystal structure of SrNCl3, as listed in the Alexandria database.

Structure (POSCAR):
```
SrNCl3
1.0
4.6489 0.0000 0.0000
0.0000 4.6489 0.0000
0.0000 0.0000 4.6489
Sr N Cl
1 1 3
Cartesian
0.0000 0.0000 0.0000
2.3245 2.3245 2.3245
0.0000 2.3245 2.3245
2.3245 0.0000 2.3245
2.3245 2.3245 0.0000
```

Values from the calculation:
As for the space group: Pm-3m. As for the total DFT energy (no corrections): -3.498 eV/atom. Its offset from the most stable computed form is 790 meV per atom. Its crystal system is cubic. The uncorrected formation energy is -1.942 eV per formula unit.

First-principles (GGA-PBE) data for an optimized crystal structure of BC2, as listed in the Alexandria database.

Structure (POSCAR):
```
BC2
1.0
5.8698 -1.2962 0.0000
5.8698 1.2962 0.0000
-1.2458 0.0000 5.1412
B C
4 8
Cartesian
0.0000 0.0000 0.0000
2.2186 0.0000 2.1984
5.9192 0.0000 3.0448
9.9117 0.0000 1.5588
1.5961 0.0000 4.7577
3.4042 0.0000 1.0510
2.7707 0.0000 3.7395
6.6529 0.0000 0.4494
7.0233 0.0000 1.8938
6.5992 0.0000 4.5532
9.4978 0.0000 3.9075
10.7270 0.0000 2.9067
```

Values from the calculation:
As for the space group: Cm. As for the total DFT energy (no corrections): -8.061 eV/atom. The formation energy is 0.314 eV/atom. Its offset from the most stable computed form is 74 meV per atom. Its crystal system is monoclinic.

First-principles (GGA-PBE) data for an optimized crystal structure of TeRh2Br, as listed in the Alexandria database.

Structure (POSCAR):
```
TeRh2Br
1.0
4.2494 0.0000 0.0000
0.0000 3.3935 0.0000
-0.0075 0.0000 5.4117
Te Rh Br
1 2 1
Cartesian
0.0000 0.0000 0.0000
-0.0037 0.0000 2.7059
2.1247 1.6967 0.0000
2.1210 1.6967 2.7059
```

Values from the calculation:
As for the space group: P2/m. As for the total DFT energy (no corrections): -4.673 eV/atom. Its offset from the most stable computed form is 313 meV per atom. Its crystal system is monoclinic. The uncorrected formation energy is 0.827 eV per formula unit.

First-principles (GGA-PBE) data for an optimized crystal structure of YZn4W, as listed in the Alexandria database.

Structure (POSCAR):
```
YZn4W
1.0
0.0000 3.6717 3.6717
3.6717 0.0000 3.6717
3.6717 3.6717 0.0000
Y Zn W
1 4 1
Cartesian
0.0000 0.0000 0.0000
4.5792 2.7642 2.7642
2.7642 4.5792 2.7642
2.7642 2.7642 4.5792
4.5792 4.5792 4.5792
1.8358 1.8358 1.8358
```

Values from the calculation:
As for the space group: F-43m. As for the total DFT energy (no corrections): -4.051 eV/atom. The formation energy is 0.034 eV/atom. Its crystal system is cubic.